# 1
# AgTe3Rh, relaxed, DFT PBE-GGA
# ΔE_f (raw) ... 1081 meV/atom
# Raw total energy ... -2.844 eV/atom
# Energy above the lowest structure with this stoichiometry ... 0.652 eV/atom
# Total moment ... 0.32 μB per atom
data_AgTe3Rh
_symmetry_space_group_name_H-M 'P m -3 m'
_symmetry_Int_Tables_number 221
_symmetry_space_group_name_Hall '-P 4 2 3'
_cell_length_a 5.355
_cell_length_b 5.355
_cell_length_c 5.355
_cell_angle_alpha 90.00
_cell_angle_beta 90.00
_cell_angle_gamma 90.00
loop_
_atom_site_label
_atom_site_type_symbol
_atom_site_fract_x
_atom_site_fract_y
_atom_site_fract_z
Ag1 Ag 0.000 0.000 0.000
Te1 Te 0.000 0.000 0.500
Rh1 Rh 0.500 0.500 0.500

---

# 2
# AgTeRh, relaxed, DFT PBE-GGA
# ΔE_f (raw) ... 444 meV/atom
# Raw total energy ... -4.004 eV/atom
# Energy above the lowest structure with this stoichiometry ... 0.462 eV/atom
# Total moment ... 0.00 μB per atom
data_AgTeRh
_symmetry_space_group_name_H-M 'F -4 3 m'
_symmetry_Int_Tables_number 216
_symmetry_space_group_name_Hall 'F -4 2 3'
_cell_length_a 6.386
_cell_length_b 6.386
_cell_length_c 6.386
_cell_angle_alpha 90.00
_cell_angle_beta 90.00
_cell_angle_gamma 90.00
loop_
_atom_site_label
_atom_site_type_symbol
_atom_site_fract_x
_atom_site_fract_y
_atom_site_fract_z
Ag1 Ag 0.000 0.000 0.000
Te1 Te 0.250 0.250 0.750
Rh1 Rh 0.250 0.250 0.250

---

# 3
# AgTe3Rh, relaxed, DFT PBE-GGA
# ΔE_f (raw) ... 429 meV/atom
# Raw total energy ... -3.497 eV/atom
# Energy above the lowest structure with this stoichiometry ... 0.000 eV/atom
# Total moment ... 0.00 μB per atom
data_AgTe3Rh
_symmetry_space_group_name_H-M 'P m -3 m'
_symmetry_Int_Tables_number 221
_symmetry_space_group_name_Hall '-P 4 2 3'
_cell_length_a 5.251
_cell_length_b 5.251
_cell_length_c 5.251
_cell_angle_alpha 90.00
_cell_angle_beta 90.00
_cell_angle_gamma 90.00
loop_
_atom_site_label
_atom_site_type_symbol
_atom_site_fract_x
_atom_site_fract_y
_atom_site_fract_z
Ag1 Ag 0.000 0.000 0.000
Te1 Te 0.000 0.500 0.500
Rh1 Rh 0.500 0.500 0.500

---

Which of these has the highest energy above the lowest structure with this stoichiometry?
number 1

---

What did the second record say?
# AgTeRh, relaxed, DFT PBE-GGA
# ΔE_f (raw) ... 444 meV/atom
# Raw total energy ... -4.004 eV/atom
# Energy above the lowest structure with this stoichiometry ... 0.462 eV/atom
# Total moment ... 0.00 μB per atom
data_AgTeRh
_symmetry_space_group_name_H-M 'F -4 3 m'
_symmetry_Int_Tables_number 216
_symmetry_space_group_name_Hall 'F -4 2 3'
_cell_length_a 6.386
_cell_length_b 6.386
_cell_length_c 6.386
_cell_angle_alpha 90.00
_cell_angle_beta 90.00
_cell_angle_gamma 90.00
loop_
_atom_site_label
_atom_site_type_symbol
_atom_site_fract_x
_atom_site_fract_y
_atom_site_fract_z
Ag1 Ag 0.000 0.000 0.000
Te1 Te 0.250 0.250 0.750
Rh1 Rh 0.250 0.250 0.250

---

Repeat the third record exactly.
# AgTe3Rh, relaxed, DFT PBE-GGA
# ΔE_f (raw) ... 429 meV/atom
# Raw total energy ... -3.497 eV/atom
# Energy above the lowest structure with this stoichiometry ... 0.000 eV/atom
# Total moment ... 0.00 μB per atom
data_AgTe3Rh
_symmetry_space_group_name_H-M 'P m -3 m'
_symmetry_Int_Tables_number 221
_symmetry_space_group_name_Hall '-P 4 2 3'
_cell_length_a 5.251
_cell_length_b 5.251
_cell_length_c 5.251
_cell_angle_alpha 90.00
_cell_angle_beta 90.00
_cell_angle_gamma 90.00
loop_
_atom_site_label
_atom_site_type_symbol
_atom_site_fract_x
_atom_site_fract_y
_atom_site_fract_z
Ag1 Ag 0.000 0.000 0.000
Te1 Te 0.000 0.500 0.500
Rh1 Rh 0.500 0.500 0.500

---

The highest energy above the lowest structure with this stoichiometry belongs to which entry?
number 1